Version P
The following is a DFT calculation (GGA-PBE) of a relaxed YEr7Th3 crystal.

Summary:
As for the magnetic moment: 0.00 μB per formula unit.

```
data_YEr7Th3
_chemical_formula_sum 'Y1 Er7 Th3'
_cell_length_a 7.0354
_cell_length_b 7.0354
_cell_length_c 8.4815
_cell_angle_alpha 90.00
_cell_angle_beta 90.00
_cell_angle_gamma 120.00
_symmetry_space_group_name_H-M 'P 3 m 1'
_symmetry_Int_Tables_number 156
_symmetry_space_group_name_Hall 'P 3 -2"'
loop_
_atom_site_label
_atom_site_fract_x
_atom_site_fract_y
_atom_site_fract_z
Y1 0.0000 0.0000 0.0000
Er1 0.0024 0.5012 0.0029
Er2 0.3317 0.1658 0.3390
Er3 0.3333 0.6667 0.3405
Th1 0.1671 0.3341 0.6697
```

---

Version Q
The following is a DFT calculation (GGA-PBE) of a relaxed YEr7Th3 crystal.

Summary:
As for the magnetic moment: 0.00 μB per formula unit.

```
data_YEr7Th3
_chemical_formula_sum 'Y1 Er7 Th3'
_cell_length_a 6.890
_cell_length_b 5.479
_cell_length_c 10.059
_cell_angle_alpha 90.00
_cell_angle_beta 110.01
_cell_angle_gamma 90.00
_symmetry_space_group_name_H-M 'P 1 2/m 1'
_symmetry_Int_Tables_number 10
_symmetry_space_group_name_Hall '-P 2y'
loop_
_atom_site_label
_atom_site_fract_x
_atom_site_fract_y
_atom_site_fract_z
Y1 0.000 0.000 0.000
Er1 0.087 0.000 0.670
Er2 0.176 0.500 0.861
Er3 0.361 0.500 0.207
Er4 0.500 0.000 0.500
Th1 0.222 0.500 0.500
Th2 0.500 0.000 0.000
```

---

The data favor version Q; the next most stable structure lies 56 meV/atom above it.

---

Version P
The following is a DFT calculation (GGA-PBE) of a relaxed Y4ErTh2 crystal.

Summary:
As for the magnetic moment: 0.00 μB per formula unit.

```
data_Y4ErTh2
_chemical_formula_sum 'Y8 Er2 Th4'
_cell_length_a 8.387
_cell_length_b 8.387
_cell_length_c 6.738
_cell_angle_alpha 90.00
_cell_angle_beta 90.00
_cell_angle_gamma 90.00
_symmetry_space_group_name_H-M 'I 4/m m m'
_symmetry_Int_Tables_number 139
_symmetry_space_group_name_Hall '-I 4 2'
loop_
_atom_site_label
_atom_site_fract_x
_atom_site_fract_y
_atom_site_fract_z
Y1 0.204 0.204 0.000
Er1 0.000 0.000 0.500
Th1 0.000 0.500 0.250
```

---

Version Q
The following is a DFT calculation (GGA-PBE) of a relaxed Y4ErTh2 crystal.

Summary:
As for the magnetic moment: 0.00 μB per formula unit.

```
data_Y4ErTh2
_chemical_formula_sum 'Y4 Er1 Th2'
_cell_length_a 3.492
_cell_length_b 8.576
_cell_length_c 8.765
_cell_angle_alpha 62.19
_cell_angle_beta 89.38
_cell_angle_gamma 80.45
_symmetry_space_group_name_H-M 'P -1'
_symmetry_Int_Tables_number 2
_symmetry_space_group_name_Hall '-P 1'
loop_
_atom_site_label
_atom_site_fract_x
_atom_site_fract_y
_atom_site_fract_z
Y1 0.055 0.445 0.218
Y2 0.352 0.857 0.920
Er1 0.000 0.000 0.500
Th1 0.407 0.716 0.370
```

---

The data favor version Q; the next most stable structure lies 181 meV/atom above it.

---

Version P
The following is a DFT calculation (GGA-PBE) of a relaxed Y6Er4Th crystal.

Summary:
As for the magnetic moment: 0.00 μB per formula unit.

```
data_Y6Er4Th
_chemical_formula_sum 'Y12 Er8 Th2'
_cell_length_a 6.557
_cell_length_b 6.557
_cell_length_c 17.069
_cell_angle_alpha 90.00
_cell_angle_beta 90.00
_cell_angle_gamma 90.00
_symmetry_space_group_name_H-M 'I -4 2 m'
_symmetry_Int_Tables_number 121
_symmetry_space_group_name_Hall 'I -4 2'
loop_
_atom_site_label
_atom_site_fract_x
_atom_site_fract_y
_atom_site_fract_z
Y1 0.000 0.500 0.000
Y2 0.189 0.189 0.176
Er1 0.186 0.186 0.371
Th1 0.000 0.000 0.000
```

---

Version Q
The following is a DFT calculation (GGA-PBE) of a relaxed Y6Er4Th crystal.

Summary:
As for the magnetic moment: 0.00 μB per formula unit.

```
data_Y6Er4Th
_chemical_formula_sum 'Y24 Er16 Th4'
_cell_length_a 5.670
_cell_length_b 9.728
_cell_length_c 25.663
_cell_angle_alpha 90.00
_cell_angle_beta 90.00
_cell_angle_gamma 90.00
_symmetry_space_group_name_H-M 'C m c m'
_symmetry_Int_Tables_number 63
_symmetry_space_group_name_Hall '-C 2c 2'
loop_
_atom_site_label
_atom_site_fract_x
_atom_site_fract_y
_atom_site_fract_z
Y1 0.000 0.000 0.000
Y2 0.000 0.010 0.250
Y3 0.000 0.325 0.601
Y4 0.000 0.343 0.182
Er1 0.000 0.011 0.122
Er2 0.000 0.336 0.041
Th1 0.000 0.324 0.750
```

---

The data favor version Q; the next most stable structure lies 180 meV/atom above it.

---

Version P
The following is a DFT calculation (GGA-PBE) of a relaxed Y4Er6Th crystal.

Summary:
As for the magnetic moment: 0.00 μB per formula unit.

```
data_Y4Er6Th
_chemical_formula_sum 'Y8 Er12 Th2'
_cell_length_a 7.543
_cell_length_b 7.543
_cell_length_c 13.188
_cell_angle_alpha 90.00
_cell_angle_beta 90.00
_cell_angle_gamma 90.00
_symmetry_space_group_name_H-M 'I -4 2 m'
_symmetry_Int_Tables_number 121
_symmetry_space_group_name_Hall 'I -4 2'
loop_
_atom_site_label
_atom_site_fract_x
_atom_site_fract_y
_atom_site_fract_z
Y1 0.173 0.173 0.422
Er1 0.000 0.500 0.000
Er2 0.236 0.236 0.179
Th1 0.000 0.000 0.000
```

---

Version Q
The following is a DFT calculation (GGA-PBE) of a relaxed Y4Er6Th crystal.

Summary:
As for the magnetic moment: 0.00 μB per formula unit.

```
data_Y4Er6Th
_chemical_formula_sum 'Y16 Er24 Th4'
_cell_length_a 5.639
_cell_length_b 9.725
_cell_length_c 25.520
_cell_angle_alpha 90.00
_cell_angle_beta 90.00
_cell_angle_gamma 90.00
_symmetry_space_group_name_H-M 'C m c m'
_symmetry_Int_Tables_number 63
_symmetry_space_group_name_Hall '-C 2c 2'
loop_
_atom_site_label
_atom_site_fract_x
_atom_site_fract_y
_atom_site_fract_z
Y1 0.000 0.004 0.122
Y2 0.000 0.334 0.041
Er1 0.000 0.000 0.000
Er2 0.000 0.004 0.250
Er3 0.000 0.330 0.603
Er4 0.000 0.337 0.183
Th1 0.000 0.330 0.750
```

---

The data favor version Q; the next most stable structure lies 355 meV/atom above it.

---

Version P
The following is a DFT calculation (GGA-PBE) of a relaxed Y7Er3Th crystal.

Summary:
As for the magnetic moment: 0.02 μB per formula unit.

```
data_Y7Er3Th
_chemical_formula_sum 'Y28 Er12 Th4'
_cell_length_a 6.901
_cell_length_b 18.611
_cell_length_c 11.195
_cell_angle_alpha 90.00
_cell_angle_beta 90.86
_cell_angle_gamma 90.00
_symmetry_space_group_name_H-M 'C 1 2/m 1'
_symmetry_Int_Tables_number 12
_symmetry_space_group_name_Hall '-C 2y'
loop_
_atom_site_label
_atom_site_fract_x
_atom_site_fract_y
_atom_site_fract_z
Y1 0.248 0.161 0.468
Y2 0.248 0.339 0.969
Y3 0.249 0.000 0.250
Y4 0.249 0.412 0.250
Er1 0.000 0.000 0.000
Er2 0.000 0.250 0.250
Er3 0.000 0.500 0.500
Th1 0.000 0.000 0.500
Th2 0.000 0.500 0.000
```

---

Version Q
The following is a DFT calculation (GGA-PBE) of a relaxed Y7Er3Th crystal.

Summary:
As for the magnetic moment: 0.00 μB per formula unit.

```
data_Y7Er3Th
_chemical_formula_sum 'Y7 Er3 Th1'
_cell_length_a 7.0690
_cell_length_b 7.0690
_cell_length_c 8.6231
_cell_angle_alpha 90.00
_cell_angle_beta 90.00
_cell_angle_gamma 120.00
_symmetry_space_group_name_H-M 'P 3 m 1'
_symmetry_Int_Tables_number 156
_symmetry_space_group_name_Hall 'P 3 -2"'
loop_
_atom_site_label
_atom_site_fract_x
_atom_site_fract_y
_atom_site_fract_z
Y1 0.0000 0.0000 0.0000
Y2 0.1657 0.3315 0.6614
Y3 0.5029 0.0058 0.9931
Er1 0.3367 0.1683 0.3309
Th1 0.6667 0.3333 0.6607
```

---

The data favor version P; the next most stable structure lies 47 meV/atom above it.